First-principles (PBE) data for an optimized crystal structure of YCu, as listed in the Open Quantum Materials Database.

Summary:
The value obtained for the total energy is -10.7 eV/cell. The formation energy comes out at -243 meV/atom. The value obtained for the size of the total moment is 0.00 μB per cell. Its calculated density is 6.09 Mg/m³.

a = 3.465 Å, b = 3.465 Å, c = 3.465 Å
α = 90.00°, β = 90.00°, γ = 90.00°
Space group Pm-3m (No. 221)
Asymmetric unit:
Y  0.000  0.000  0.000 (multiplicity 1)
Cu  0.500  0.500  0.500 (multiplicity 1)